A geometry-optimized Co2O structure, computed with PBE with a Hubbard U.

a b c (Å): 2.912 5.146 4.653
angles (deg): 90.00 90.00 90.00
Each line ends with the local moment (μB).
Sites, in units of the cell vectors:
Co1 0.500 0.259 0.512  2.27
Co2 0.500 0.741 0.012  2.27
Co3 0.000 0.147 0.972  2.23
Co4 0.000 0.853 0.472  2.23
O1 0.500 0.632 0.612  0.19
O2 0.500 0.368 0.112  0.19

Properties
crystal system	orthorhombic
VASP energy	-5.184	eV/atom
SG	Pmc2_1
relative energy among the computed polymorphs	0.068	eV/atom
ρ	6.38	g/cm³